Entry 1:
This record from Alexandria via LeMat-Bulk describes a relaxed SbMo2As crystal. The functional is PBE.

Results
Space group   P4/mmm
Energy relative to the lowest polymorph listed for this composition   80.4 meV/atom
DOS(E_F)   2.2 states/eV/f.u.
Size of the total moment   0.000 μB per atom

Lattice parameters (Å, degrees): 3.210 3.210 6.543 90.00 90.00 90.00
Fractional positions:
Mo (0.000, 0.000, 0.974)
Mo (0.000, 0.000, 0.526)
Sb (0.500, 0.500, 0.250)
As (0.500, 0.500, 0.750)

Entry 2:
This record from Alexandria via LeMat-Bulk describes a relaxed Sb2MoAs crystal. The functional is PBE.

Results
Space group   P4mm
DOS(E_F)   1.8 states/eV/f.u.
Size of the total moment   0.000 μB per atom

Lattice parameters (Å, degrees): 3.326 3.326 7.905 90.00 90.00 90.00
Fractional positions:
Sb (0.000, 0.000, 0.933)
As (0.000, 0.000, 0.553)
Mo (0.500, 0.500, 0.700)
Sb (0.500, 0.500, 0.314)

Entry 3:
This record from Alexandria via LeMat-Bulk describes a relaxed SbMoAs2 crystal. The functional is PBE.

Results
Space group   Cm
DOS(E_F)   2.2 states/eV/f.u.
Size of the total moment   0.000 μB per atom

Lattice parameters (Å, degrees): 4.731 4.731 6.310 71.94 71.94 40.82
Fractional positions:
As (0.972, 0.972, 0.975)
As (0.830, 0.830, 0.626)
Sb (0.159, 0.159, 0.255)
Mo (0.539, 0.539, 0.644)

Entry 4:
This record from Alexandria via LeMat-Bulk describes a relaxed SbMo2As crystal. The functional is PBE.

Results
Space group   R3m
Energy relative to the lowest polymorph listed for this composition   177.9 meV/atom
DOS(E_F)   2.1 states/eV/f.u.
Size of the total moment   0.000 μB per atom

Lattice parameters (Å, degrees): 8.535 8.535 8.535 21.78 21.78 21.78
Fractional positions:
Mo (0.002, 0.002, 0.002)
Mo (0.255, 0.255, 0.255)
As (0.738, 0.738, 0.738)
Sb (0.505, 0.505, 0.505)

Entry 5:
This record from Alexandria via LeMat-Bulk describes a relaxed SbMoAs2 crystal. The functional is PBE.

Results
Space group   C2/m
DOS(E_F)   3.5 states/eV/f.u.
Size of the total moment   0.000 μB per atom

Lattice parameters (Å, degrees): 4.999 4.999 3.958 74.67 74.67 112.15
Fractional positions:
Sb (0.000, 0.500, 0.500)
As (0.500, 0.500, 0.000)
As (0.000, 0.000, 0.000)
Mo (0.500, 0.000, 0.500)

Entry 6:
This record from Alexandria via LeMat-Bulk describes a relaxed Sb2MoAs crystal. The functional is PBE.

Results
Space group   I-42d
DOS(E_F)   4.3 states/eV/f.u.
Size of the total moment   0.218 μB per atom

Lattice parameters (Å, degrees): 6.288 6.288 7.576 65.48 65.48 90.00
Fractional positions:
Mo (0.000, 0.000, 0.000)
Sb (0.645, 0.125, 0.250)
Mo (0.750, 0.250, 0.500)
Sb (0.875, 0.895, 0.750)
Sb (0.375, 0.355, 0.750)
As (0.500, 0.500, 0.000)
As (0.250, 0.750, 0.500)
Sb (0.105, 0.625, 0.250)

Entry 7:
This record from Alexandria via LeMat-Bulk describes a relaxed Sb2MoAs crystal. The functional is PBE.

Results
Space group   Pmmm
DOS(E_F)   2.5 states/eV/f.u.
Size of the total moment   0.000 μB per atom

Lattice parameters (Å, degrees): 3.415 3.397 7.901 64.50 90.00 90.00
Fractional positions:
Sb (0.000, 0.029, 0.971)
As (0.500, 0.250, 0.250)
Sb (0.000, 0.471, 0.529)
Mo (0.500, 0.750, 0.750)

Entry 8:
This record from Alexandria via LeMat-Bulk describes a relaxed SbMoAs2 crystal. The functional is PBE.

Results
Space group   P4/mmm
DOS(E_F)   4.1 states/eV/f.u.
Size of the total moment   0.087 μB per atom

Lattice parameters (Å, degrees): 4.815 4.815 3.275 90.00 90.00 90.00
Fractional positions:
As (0.500, 0.500, 0.000)
Sb (0.000, 0.500, 0.500)
As (0.000, 0.000, 0.000)
Mo (0.500, 0.000, 0.500)

Entry 9:
This record from Alexandria via LeMat-Bulk describes a relaxed SbMo2As crystal. The functional is PBE.

Results
Space group   Imm2
Energy relative to the lowest polymorph listed for this composition   22.6 meV/atom
DOS(E_F)   3.6 states/eV/f.u.
Size of the total moment   0.000 μB per atom

Lattice parameters (Å, degrees): 6.572 6.572 6.572 149.17 149.74 43.75
Fractional positions:
As (0.208, 0.708, 0.500)
Mo (0.780, 0.280, 0.500)
Sb (0.458, 0.458, 0.000)
Mo (0.055, 0.055, 0.000)

Entry 10:
This record from Alexandria via LeMat-Bulk describes a relaxed SbMoAs2 crystal. The functional is PBE.

Results
Space group   P4/mmm
DOS(E_F)   2.9 states/eV/f.u.
Size of the total moment   0.327 μB per atom

Lattice parameters (Å, degrees): 5.096 3.954 3.954 90.00 90.00 90.00
Fractional positions:
As (0.000, 0.000, 0.000)
Sb (0.500, 0.000, 0.500)
As (0.000, 0.500, 0.500)
Mo (0.500, 0.500, 0.000)

Entry 11:
This record from Alexandria via LeMat-Bulk describes a relaxed Sb2MoAs crystal. The functional is PBE.

Results
Space group   F-43m
DOS(E_F)   3.6 states/eV/f.u.
Size of the total moment   0.000 μB per atom

Lattice parameters (Å, degrees): 4.875 4.875 4.875 60.00 60.00 60.00
Fractional positions:
Mo (0.250, 0.250, 0.250)
As (0.500, 0.500, 0.500)
Sb (0.000, 0.000, 0.000)
Sb (0.750, 0.750, 0.750)

Entry 12:
This record from Alexandria via LeMat-Bulk describes a relaxed SbMo2As crystal. The functional is PBE.

Results
Space group   C2/m
Energy relative to the lowest polymorph listed for this composition   191.6 meV/atom
DOS(E_F)   3.1 states/eV/f.u.
Size of the total moment   0.000 μB per atom

Lattice parameters (Å, degrees): 4.360 4.360 5.842 77.40 77.40 42.44
Fractional positions:
Mo (0.995, 0.995, 0.053)
Mo (0.505, 0.505, 0.447)
As (0.250, 0.250, 0.250)
Sb (0.750, 0.750, 0.750)

no.,formation energy from raw total energies (eV per atom)
1,0.11
2,0.04
3,0.01
4,0.21
5,0.50
6,0.64
7,0.25
8,0.57
9,0.05
10,0.62
11,0.56
12,0.22